Model a:
The following is a PBE-GGA calculation of crystalline Ta2TlCr at its relaxed geometry, from the Alexandria database.

The space group is C2/m (No. 12) and the conventional cell measures 5.700, 8.656 and 2.943 Å, with angles of 90.00, 91.74 and 90.00 degrees. The distinct sites, in fractional coordinates, are Ta at (0.250, 0.250, 0.000), Tl at (0.000, 0.000, 0.500) and Cr at (0.000, 0.500, 0.500).

The density of states at the Fermi level is 0.75 states/eV per atom.


Model b:
The following is a PBE-GGA calculation of crystalline Ta2TlCr at its relaxed geometry, from the Alexandria database.

The space group is P4/mmm (No. 123) and the conventional cell measures 3.992, 3.992 and 4.472 Å, with angles of 90.00, 90.00 and 90.00 degrees. The distinct sites, in fractional coordinates, are Ta at (0.000, 0.500, 0.000), Tl at (0.000, 0.000, 0.500) and Cr at (0.500, 0.500, 0.500).

The density of states at the Fermi level is 0.89 states/eV per atom.


Which of them is the least stable? Correct choice: model a.


Model a:
The following is a PBE-GGA calculation of crystalline Ta2TlCr at its relaxed geometry, from the Alexandria database.

The space group is Cmmm (No. 65) and the conventional cell measures 3.255, 4.956 and 9.033 Å, with angles of 90.00, 90.00 and 90.00 degrees. The distinct sites, in fractional coordinates, are Ta at (0.000, 0.000, 0.214), Tl at (0.000, 0.500, 0.500) and Cr at (0.000, 0.500, 0.000).

The density of states at the Fermi level is 0.58 states/eV per atom.


Model b:
The following is a PBE-GGA calculation of crystalline Ta2TlCr at its relaxed geometry, from the Alexandria database.

The space group is I4/mmm (No. 139) and the conventional cell measures 4.147, 4.147 and 8.163 Å, with angles of 90.00, 90.00 and 90.00 degrees. The distinct sites, in fractional coordinates, are Ta at (0.000, 0.500, 0.250), Tl at (0.000, 0.000, 0.000) and Cr at (0.000, 0.000, 0.500).

The density of states at the Fermi level is 0.98 states/eV per atom.


Model c:
The following is a PBE-GGA calculation of crystalline Ta2TlCr at its relaxed geometry, from the Alexandria database.

The space group is P4mm (No. 99) and the conventional cell measures 3.348, 3.348 and 6.427 Å, with angles of 90.00, 90.00 and 90.00 degrees. The distinct sites, in fractional coordinates, are Ta at (0.000, 0.000, 0.000), Ta at (0.500, 0.500, 0.235), Tl at (0.000, 0.000, 0.529) and Cr at (0.500, 0.500, 0.793).

The density of states at the Fermi level is 0.75 states/eV per atom.


Model d:
The following is a PBE-GGA calculation of crystalline Ta2TlCr at its relaxed geometry, from the Alexandria database.

The space group is Pm (No. 6) and the conventional cell measures 2.986, 4.445 and 5.641 Å, with angles of 90.00, 101.95 and 90.00 degrees. The distinct sites, in fractional coordinates, are Ta at (0.000, 0.000, 0.000), Ta at (0.302, 0.500, 0.760), Tl at (0.641, 0.500, 0.286) and Cr at (0.570, 0.000, 0.586).

The density of states at the Fermi level is 0.89 states/eV per atom.


Which of them is the least stable? Correct choice: model b.


Model a:
The following is a PBE-GGA calculation of crystalline Ta2TlCr at its relaxed geometry, from the Alexandria database.

The space group is I-42d (No. 122) and the conventional cell measures 3.943, 3.943 and 20.391 Å, with angles of 90.00, 90.00 and 90.00 degrees. The distinct sites, in fractional coordinates, are Ta at (0.244, 0.250, 0.125), Tl at (0.000, 0.000, 0.500) and Cr at (0.000, 0.000, 0.000).

The density of states at the Fermi level is 1.19 states/eV per atom.


Model b:
The following is a PBE-GGA calculation of crystalline Ta2TlCr at its relaxed geometry, from the Alexandria database.

The space group is I-4m2 (No. 119) and the conventional cell measures 4.106, 4.106 and 8.536 Å, with angles of 90.00, 90.00 and 90.00 degrees. The distinct sites, in fractional coordinates, are Ta at (0.000, 0.000, 0.000), Ta at (0.000, 0.500, 0.250), Tl at (0.000, 0.500, 0.750) and Cr at (0.000, 0.000, 0.500).

The density of states at the Fermi level is 1.22 states/eV per atom.


Which of them is the least stable? Correct choice: model a.


Model a:
The following is a PBE-GGA calculation of crystalline TaTlCr at its relaxed geometry, from the Alexandria database.

The space group is I4mm (No. 107) and the conventional cell measures 2.984, 2.984 and 12.593 Å, with angles of 90.00, 90.00 and 90.00 degrees. The distinct sites, in fractional coordinates, are Ta at (0.000, 0.000, 0.000), Tl at (0.000, 0.000, 0.689) and Cr at (0.000, 0.000, 0.359).

The density of states at the Fermi level is 0.96 states/eV per atom.


Model b:
The following is a PBE-GGA calculation of crystalline TaTlCr at its relaxed geometry, from the Alexandria database.

The space group is Fmm2 (No. 42) and the conventional cell measures 3.243, 5.045 and 13.626 Å, with angles of 90.00, 90.00 and 90.00 degrees. The distinct sites, in fractional coordinates, are Ta at (0.000, 0.000, 0.000), Tl at (0.000, 0.000, 0.308) and Cr at (0.000, 0.000, 0.635).

The density of states at the Fermi level is 0.54 states/eV per atom.


Which of them is the least stable? Correct choice: model a.


Model a:
The following is a PBE-GGA calculation of crystalline TaTlCr at its relaxed geometry, from the Alexandria database.

The space group is F-43m (No. 216) and the conventional cell measures 6.477, 6.477 and 6.477 Å, with angles of 90.00, 90.00 and 90.00 degrees. The distinct sites, in fractional coordinates, are Ta at (0.000, 0.000, 0.000), Tl at (0.250, 0.250, 0.250) and Cr at (0.250, 0.250, 0.750).

The density of states at the Fermi level is 1.98 states/eV per atom.


Model b:
The following is a PBE-GGA calculation of crystalline TaTlCr at its relaxed geometry, from the Alexandria database.

The space group is I4mm (No. 107) and the conventional cell measures 3.315, 3.315 and 9.673 Å, with angles of 90.00, 90.00 and 90.00 degrees. The distinct sites, in fractional coordinates, are Ta at (0.000, 0.000, 0.000), Tl at (0.000, 0.000, 0.301) and Cr at (0.000, 0.000, 0.618).

The density of states at the Fermi level is 0.47 states/eV per atom.


Model c:
The following is a PBE-GGA calculation of crystalline TaTlCr at its relaxed geometry, from the Alexandria database.

The space group is P3m1 (No. 156) and the conventional cell measures 3.0605, 3.0605 and 7.0718 Å, with angles of 90.00, 90.00 and 120.00 degrees. The distinct sites, in fractional coordinates, are Ta at (0.0000, 0.0000, 0.0000), Tl at (0.6667, 0.3333, 0.3633) and Cr at (0.3333, 0.6667, 0.7026).

The density of states at the Fermi level is 0.96 states/eV per atom.


Which of them is the least stable? Correct choice: model a.


Model a:
The following is a PBE-GGA calculation of crystalline TaV3Cr at its relaxed geometry, from the Alexandria database.

The space group is Pm-3m (No. 221) and the conventional cell measures 4.614, 4.614 and 4.614 Å, with angles of 90.00, 90.00 and 90.00 degrees. The distinct sites, in fractional coordinates, are Ta at (0.000, 0.000, 0.000), V at (0.000, 0.000, 0.500) and Cr at (0.500, 0.500, 0.500).

The density of states at the Fermi level is 1.49 states/eV per atom.


Model b:
The following is a PBE-GGA calculation of crystalline TaV3Cr at its relaxed geometry, from the Alexandria database.

The space group is Cmcm (No. 63) and the conventional cell measures 5.220, 11.624 and 4.826 Å, with angles of 90.00, 90.00 and 90.00 degrees. The distinct sites, in fractional coordinates, are Ta at (0.000, 0.076, 0.250), V at (0.000, 0.319, 0.750), V at (0.250, 0.153, 0.750) and Cr at (0.000, 0.500, 0.000).

The density of states at the Fermi level is 1.05 states/eV per atom.


Which of them is the least stable? Correct choice: model a.


Model a:
The following is a PBE-GGA calculation of crystalline Ta3VCr at its relaxed geometry, from the Alexandria database.

The space group is Pm-3m (No. 221) and the conventional cell measures 4.639, 4.639 and 4.639 Å, with angles of 90.00, 90.00 and 90.00 degrees. The distinct sites, in fractional coordinates, are Ta at (0.000, 0.000, 0.500), V at (0.000, 0.000, 0.000) and Cr at (0.500, 0.500, 0.500).

The density of states at the Fermi level is 1.12 states/eV per atom.


Model b:
The following is a PBE-GGA calculation of crystalline Ta3VCr at its relaxed geometry, from the Alexandria database.

The space group is Pm-3m (No. 221) and the conventional cell measures 4.597, 4.597 and 4.597 Å, with angles of 90.00, 90.00 and 90.00 degrees. The distinct sites, in fractional coordinates, are Ta at (0.000, 0.000, 0.500), V at (0.500, 0.500, 0.500) and Cr at (0.000, 0.000, 0.000).

The density of states at the Fermi level is 1.09 states/eV per atom.


Which of them is the least stable? Correct choice: model a.


Model a:
The following is a PBE-GGA calculation of crystalline Ta2Cr2W at its relaxed geometry, from the Alexandria database.

The space group is I4/mmm (No. 139) and the conventional cell measures 3.873, 3.873 and 10.965 Å, with angles of 90.00, 90.00 and 90.00 degrees. The distinct sites, in fractional coordinates, are Ta at (0.000, 0.500, 0.250), Cr at (0.000, 0.000, 0.084) and W at (0.000, 0.000, 0.500).

The density of states at the Fermi level is 0.92 states/eV per atom.


Model b:
The following is a PBE-GGA calculation of crystalline Ta2Cr2W at its relaxed geometry, from the Alexandria database.

The space group is P4/mbm (No. 127) and the conventional cell measures 6.979, 6.979 and 3.193 Å, with angles of 90.00, 90.00 and 90.00 degrees. The distinct sites, in fractional coordinates, are Ta at (0.203, 0.297, 0.000), Cr at (0.101, 0.601, 0.500) and W at (0.000, 0.000, 0.500).

The density of states at the Fermi level is 0.86 states/eV per atom.


Which of them is the least stable? Correct choice: model a.